Compound: Ba3Lu2MoO9
Source: Alexandria
Functional: GGA+U
Structure: optimized geometry

Unit cell a=6.0092 b=6.0092 c=7.3558 alpha=90.00 beta=90.00 gamma=120.00
Space group P-3m1 (No. 164)
Asymmetric unit:
Ba 0.0000 0.0000 0.0000 x1
Ba 0.3333 0.6667 0.6804 x2
Lu 0.3333 0.6667 0.1645 x2
Mo 0.0000 0.0000 0.5000 x1
O 0.0000 0.5000 0.0000 x3
O 0.1546 0.3093 0.3478 x6

Energy, eV/atom: -7.3119